Compound: Sc2NiSnO6
Source: Alexandria via LeMat-Bulk
Functional: PBE with a Hubbard U
Structure: relaxed

Results
- Final energy: -73.3 eV/f.u.
- Symmetry: R3
- Spin magnetization: 1.990 μB/f.u.

Lattice parameters (Å, degrees): 5.689 5.689 5.689 55.91 55.91 55.91
Fractional positions:
Sc (0.000, 0.000, 0.000)
Sc (0.497, 0.497, 0.497)
Ni (0.790, 0.790, 0.790)
Sn (0.290, 0.290, 0.290)
O (0.092, 0.689, 0.393)
O (0.192, 0.586, 0.898)
O (0.393, 0.092, 0.689)
O (0.586, 0.898, 0.192)
O (0.689, 0.393, 0.092)
O (0.898, 0.192, 0.586)